GaSi2AgRh: relaxed, PBE.

POSCAR file:
```
GaSi2AgRh
1.0
-4.209 1.625 -0.926
-0.149 -2.617 -3.918
-1.865 -3.469 2.388
Si Rh Ag Ga
2 1 1 1
direct
0.000 0.000 0.500
0.500 0.000 0.000
0.500 0.500 0.500
0.000 0.500 0.000
0.000 0.000 0.000
```

Calculated values
The value obtained for the density of states at the Fermi level is 0.662 states/eV/atom. As for the formation energy from raw total energies: 1.0850 eV/atom.

SrGa3AgRh: relaxed, PBE.

POSCAR file:
```
SrGa3AgRh
1.0
6.049 0.000 0.000
0.000 6.449 0.000
0.000 -3.225 6.516
Ga Ag Rh Sr
6 2 2 2
direct
0.750 0.852 0.703
0.500 0.304 0.000
0.250 0.148 0.297
0.000 0.304 0.000
0.500 0.696 0.000
0.000 0.696 0.000
0.750 0.652 0.303
0.250 0.348 0.697
0.750 0.036 0.073
0.250 0.964 0.927
0.250 0.734 0.469
0.750 0.266 0.531
```

Calculated values
The value obtained for the density of states at the Fermi level is 0.581 states/eV/atom. As for the total energy: -45.76 eV per cell.

TaGa2AgRh: relaxed, PBE.

POSCAR file:
```
TaGa2AgRh
1.0
5.055 0.000 0.000
0.000 4.692 0.000
0.000 0.000 5.055
Ga Ta Rh Ag
2 1 1 1
direct
0.000 0.000 0.500
0.500 0.000 0.000
0.000 0.000 0.000
0.000 0.500 0.000
0.500 0.500 0.500
```

Calculated values
The value obtained for the density of states at the Fermi level is 0.635 states/eV/atom. As for the total energy: -24.00 eV per cell.

GaTc2AgRh: relaxed, PBE.

POSCAR file:
```
GaTc2AgRh
1.0
-3.830 -0.298 -2.567
0.492 -4.484 -0.212
-2.535 -0.460 3.836
Tc Rh Ga Ag
2 1 1 1
direct
0.500 0.000 0.000
0.000 0.000 0.500
0.000 0.500 0.000
0.000 0.000 0.000
0.500 0.500 0.500
```

Calculated values
The value obtained for the density of states at the Fermi level is 1.196 states/eV/atom. As for the total energy: -27.28 eV per cell.

TmGaAgRh: relaxed, PBE.

POSCAR file:
```
TmGaAgRh
1.0
-2.028 1.214 4.021
-4.630 -0.316 0.466
-1.848 -3.273 2.761
Ga Rh Tm Ag
1 1 1 1
direct
0.250 0.250 0.250
0.000 0.000 0.000
0.750 0.750 0.750
0.500 0.500 0.500
```

Calculated values
The value obtained for the density of states at the Fermi level is 0.712 states/eV/atom. As for the total energy: -19.68 eV per cell.

ZrGaAgRh: relaxed, PBE.

POSCAR file:
```
ZrGaAgRh
1.0
4.595 0.000 0.000
2.297 3.979 0.000
2.297 1.326 3.752
Rh Zr Ga Ag
1 1 1 1
direct
0.750 0.750 0.750
0.000 0.000 0.000
0.500 0.500 0.500
0.250 0.250 0.250
```

Calculated values
The value obtained for the density of states at the Fermi level is 1.042 states/eV/atom. As for the total energy: -23.39 eV per cell.